1.
Material: Sm12ThAl3
Method: DFT, GGA-PBE
State: relaxed

Values from the calculation:
Space group: P4/mmm (123)
Calculated volume (Å³ per cell): 474.58
Formation energy from the elements (meV/atom): -102

a = 4.8929 Å, b = 4.8929 Å, c = 19.8233 Å
α = 90.00°, β = 90.00°, γ = 90.00°
Closest atoms and distances in Å follow each position.
Atoms (fractional coordinates):
Sm  0.0000  0.0000  0.0000  8 Sm 3.44, 4 Al 3.46
Sm  0.0000  0.0000  0.2427  8 Sm 3.42-3.48, 4 Al 3.46
Sm  0.0000  0.0000  0.5000  4 Th 3.46, 8 Sm 3.59
Sm  0.0000  0.0000  0.7573  8 Sm 3.42-3.48, 4 Al 3.46
Sm  0.0000  0.5000  0.1220  8 Sm 3.42-3.46, 4 Al 3.43-3.44
Sm  0.0000  0.5000  0.3674  8 Sm 3.46-3.59, 2 Al 3.48, 2 Th 3.59
Sm  0.0000  0.5000  0.6326  8 Sm 3.46-3.59, 2 Al 3.48, 2 Th 3.59
Sm  0.0000  0.5000  0.8780  8 Sm 3.42-3.46, 4 Al 3.43-3.44
Sm  0.5000  0.0000  0.1220  8 Sm 3.42-3.46, 4 Al 3.43-3.44
Sm  0.5000  0.0000  0.3674  8 Sm 3.46-3.59, 2 Al 3.48, 2 Th 3.59
Sm  0.5000  0.0000  0.6326  8 Sm 3.46-3.59, 2 Al 3.48, 2 Th 3.59
Sm  0.5000  0.0000  0.8780  8 Sm 3.42-3.46, 4 Al 3.43-3.44
Th  0.5000  0.5000  0.5000  12 Sm 3.46-3.59
Al  0.5000  0.5000  0.0000  12 Sm 3.44-3.46
Al  0.5000  0.5000  0.2429  12 Sm 3.43-3.48
Al  0.5000  0.5000  0.7571  12 Sm 3.43-3.48

---

2.
Material: Sm3ThAl8
Method: DFT, GGA-PBE
State: relaxed

Values from the calculation:
Space group: P3m1 (156)
Calculated volume (Å³ per cell): 256.21
Formation energy from the elements (meV/atom): -475
Offset from the most stable computed form (eV/atom): 0.013

a = 5.6279 Å, b = 5.6279 Å, c = 9.3407 Å
α = 90.00°, β = 90.00°, γ = 120.00°
Closest atoms and distances in Å follow each position.
Atoms (fractional coordinates):
Sm  0.0000  0.0000  0.0000  12 Al 3.29-3.35, 4 Sm 3.41-3.49
Sm  0.0000  0.0000  0.3647  12 Al 3.29-3.38, 1 Sm 3.41, 3 Th 3.49
Sm  0.3333  0.6667  0.8649  12 Al 3.28-3.37, 1 Th 3.40, 3 Sm 3.49
Th  0.3333  0.6667  0.5009  12 Al 3.29-3.37, 4 Sm 3.40-3.49
Al  0.0078  0.5039  0.1832  6 Al 2.75-2.88
Al  0.3260  0.1630  0.6839  6 Al 2.75-2.88
Al  0.4961  0.5039  0.1832  6 Al 2.75-2.88
Al  0.4961  0.9922  0.1832  6 Al 2.75-2.88
Al  0.6667  0.3333  0.4317  6 Al 2.86-2.88
Al  0.6667  0.3333  0.9364  6 Al 2.84-2.88
Al  0.8370  0.1630  0.6839  6 Al 2.75-2.88
Al  0.8370  0.6740  0.6839  6 Al 2.75-2.88

---

3.
Material: SmThAl3
Method: DFT, GGA-PBE
State: relaxed

Values from the calculation:
Space group: Cmcm (63)
Calculated volume (Å³ per cell): 248.77
Formation energy from the elements (meV/atom): -418

a = 13.5728 Å, b = 13.5728 Å, c = 4.3449 Å
α = 90.00°, β = 90.00°, γ = 161.89°
Closest atoms and distances in Å follow each position.
Atoms (fractional coordinates):
Sm  0.2051  0.7949  0.7500  7 Al 3.15-3.31
Sm  0.7949  0.2051  0.2500  7 Al 3.15-3.31
Th  0.0714  0.9286  0.2500  12 Al 3.30-3.43
Th  0.9286  0.0714  0.7500  12 Al 3.30-3.43
Al  0.3284  0.6716  0.7500  2 Al 2.60
Al  0.3815  0.6185  0.2500  3 Al 2.53-2.60
Al  0.4761  0.5239  0.2500  3 Al 2.52-2.53
Al  0.5239  0.4761  0.7500  3 Al 2.52-2.53
Al  0.6185  0.3815  0.7500  3 Al 2.53-2.60
Al  0.6716  0.3284  0.2500  2 Al 2.60

---

4.
Material: SmThAl6
Method: DFT, GGA-PBE
State: relaxed

Values from the calculation:
Space group: P-6m2 (187)
Calculated volume (Å³ per cell): 167.97
Formation energy from the elements (meV/atom): -432

a = 6.4544 Å, b = 6.4544 Å, c = 4.6530 Å
α = 90.00°, β = 90.00°, γ = 120.00°
Closest atoms and distances in Å follow each position.
Atoms (fractional coordinates):
Sm  0.0000  0.0000  0.0000  12 Al 3.16-3.24
Th  0.3333  0.6667  0.5000  12 Al 3.17-3.24
Al  0.3817  0.1908  0.5000  6 Al 2.76-2.81
Al  0.5260  0.0520  0.0000  6 Al 2.72-2.81
Al  0.5260  0.4740  0.0000  6 Al 2.72-2.81
Al  0.8092  0.1908  0.5000  6 Al 2.76-2.81
Al  0.8092  0.6183  0.5000  6 Al 2.76-2.81
Al  0.9480  0.4740  0.0000  6 Al 2.72-2.81

---

5.
Material: SmTmThAl
Method: DFT, GGA-PBE
State: relaxed

Values from the calculation:
Space group: F-43m (216)
Calculated volume (Å³ per cell): 444.57
Formation energy from the elements (meV/atom): -30

a = 7.6321 Å, b = 7.6321 Å, c = 7.6321 Å
α = 90.00°, β = 90.00°, γ = 90.00°
Closest atoms and distances in Å follow each position.
Atoms (fractional coordinates):
Sm  0.0000  0.0000  0.0000  4 Tm 3.30, 4 Al 3.30
Sm  0.0000  0.5000  0.5000  4 Tm 3.30, 4 Al 3.30
Sm  0.5000  0.0000  0.5000  4 Tm 3.30, 4 Al 3.30
Sm  0.5000  0.5000  0.0000  4 Tm 3.30, 4 Al 3.30
Tm  0.2500  0.2500  0.2500  4 Th 3.30, 4 Sm 3.30
Tm  0.2500  0.7500  0.7500  4 Th 3.30, 4 Sm 3.30
Tm  0.7500  0.2500  0.7500  4 Th 3.30, 4 Sm 3.30
Tm  0.7500  0.7500  0.2500  4 Th 3.30, 4 Sm 3.30
Th  0.0000  0.0000  0.5000  4 Tm 3.30, 4 Al 3.30
Th  0.0000  0.5000  0.0000  4 Tm 3.30, 4 Al 3.30
Th  0.5000  0.0000  0.0000  4 Tm 3.30, 4 Al 3.30
Th  0.5000  0.5000  0.5000  4 Tm 3.30, 4 Al 3.30
Al  0.2500  0.2500  0.7500  4 Th 3.30, 4 Sm 3.30
Al  0.2500  0.7500  0.2500  4 Th 3.30, 4 Sm 3.30
Al  0.7500  0.2500  0.2500  4 Th 3.30, 4 Sm 3.30
Al  0.7500  0.7500  0.7500  4 Th 3.30, 4 Sm 3.30

---

6.
Material: SmYThAl
Method: DFT, GGA-PBE
State: relaxed

Values from the calculation:
Space group: F-43m (216)
Calculated volume (Å³ per cell): 452.78
Formation energy from the elements (meV/atom): 2

a = 7.6788 Å, b = 7.6788 Å, c = 7.6788 Å
α = 90.00°, β = 90.00°, γ = 90.00°
Closest atoms and distances in Å follow each position.
Atoms (fractional coordinates):
Sm  0.0000  0.0000  0.0000  4 Y 3.33, 4 Al 3.33
Sm  0.0000  0.5000  0.5000  4 Y 3.33, 4 Al 3.33
Sm  0.5000  0.0000  0.5000  4 Y 3.33, 4 Al 3.33
Sm  0.5000  0.5000  0.0000  4 Y 3.33, 4 Al 3.33
Y  0.2500  0.2500  0.7500  4 Th 3.33, 4 Sm 3.33
Y  0.2500  0.7500  0.2500  4 Th 3.33, 4 Sm 3.33
Y  0.7500  0.2500  0.2500  4 Th 3.33, 4 Sm 3.33
Y  0.7500  0.7500  0.7500  4 Th 3.33, 4 Sm 3.33
Th  0.0000  0.0000  0.5000  4 Al 3.33, 4 Y 3.33
Th  0.0000  0.5000  0.0000  4 Al 3.33, 4 Y 3.33
Th  0.5000  0.0000  0.0000  4 Al 3.33, 4 Y 3.33
Th  0.5000  0.5000  0.5000  4 Al 3.33, 4 Y 3.33
Al  0.2500  0.2500  0.2500  4 Sm 3.33, 4 Th 3.33
Al  0.2500  0.7500  0.7500  4 Sm 3.33, 4 Th 3.33
Al  0.7500  0.2500  0.7500  4 Sm 3.33, 4 Th 3.33
Al  0.7500  0.7500  0.2500  4 Sm 3.33, 4 Th 3.33

---

7.
Material: SmThAlZn
Method: DFT, GGA-PBE
State: relaxed

Values from the calculation:
Space group: F-43m (216)
Calculated volume (Å³ per cell): 400.37
Formation energy from the elements (meV/atom): -273

a = 7.3703 Å, b = 7.3703 Å, c = 7.3703 Å
α = 90.00°, β = 90.00°, γ = 90.00°
Closest atoms and distances in Å follow each position.
Atoms (fractional coordinates):
Sm  0.0000  0.0000  0.0000  4 Al 3.19, 4 Zn 3.19
Sm  0.0000  0.5000  0.5000  4 Al 3.19, 4 Zn 3.19
Sm  0.5000  0.0000  0.5000  4 Al 3.19, 4 Zn 3.19
Sm  0.5000  0.5000  0.0000  4 Al 3.19, 4 Zn 3.19
Th  0.0000  0.0000  0.5000  4 Al 3.19, 4 Zn 3.19
Th  0.0000  0.5000  0.0000  4 Al 3.19, 4 Zn 3.19
Th  0.5000  0.0000  0.0000  4 Al 3.19, 4 Zn 3.19
Th  0.5000  0.5000  0.5000  4 Al 3.19, 4 Zn 3.19
Al  0.2500  0.2500  0.2500  4 Th 3.19, 4 Sm 3.19
Al  0.2500  0.7500  0.7500  4 Th 3.19, 4 Sm 3.19
Al  0.7500  0.2500  0.7500  4 Th 3.19, 4 Sm 3.19
Al  0.7500  0.7500  0.2500  4 Th 3.19, 4 Sm 3.19
Zn  0.2500  0.2500  0.7500  4 Th 3.19, 4 Sm 3.19
Zn  0.2500  0.7500  0.2500  4 Th 3.19, 4 Sm 3.19
Zn  0.7500  0.2500  0.2500  4 Th 3.19, 4 Sm 3.19
Zn  0.7500  0.7500  0.7500  4 Th 3.19, 4 Sm 3.19

---

8.
Material: Sm2ThAl2Zn2
Method: DFT, GGA-PBE
State: relaxed

Values from the calculation:
Space group: R-3m (166)
Calculated volume (Å³ per cell): 169.31
Formation energy from the elements (meV/atom): -272

a = 10.0213 Å, b = 10.0213 Å, c = 10.0213 Å
α = 25.92°, β = 25.92°, γ = 25.92°
Closest atoms and distances in Å follow each position.
Atoms (fractional coordinates):
Sm  0.1284  0.1284  0.1284  3 Al 3.11, 3 Zn 3.16, 3 Sm 3.42
Sm  0.8716  0.8716  0.8716  3 Al 3.11, 3 Zn 3.16, 3 Sm 3.42
Th  0.0000  0.0000  0.0000  6 Zn 3.23, 6 Al 3.29
Al  0.2637  0.2637  0.2637  3 Zn 2.60
Al  0.7363  0.7363  0.7363  3 Zn 2.60
Zn  0.3995  0.3995  0.3995  3 Al 2.60
Zn  0.6005  0.6005  0.6005  3 Al 2.60

---

no.,magnetic moment (Bohr magnetons per cell)
1,0.0
2,0.0
3,0.6
4,0.0
5,0.0
6,0.0
7,0.0
8,0.0